(1)
# Sb2AsPb (PBE, relaxed)
data_Sb2AsPb
_space_group_name_H-M_alt 'C m m m'
_space_group_IT_number 65
_space_group_name_Hall '-C 2 2'
_cell_length_a 7.3549
_cell_length_b 7.4370
_cell_length_c 3.8876
_cell_angle_alpha 90.00
_cell_angle_beta 90.00
_cell_angle_gamma 90.00
loop_
_atom_site_label
_atom_site_fract_x
_atom_site_fract_y
_atom_site_fract_z
Sb1 0.2500 0.2500 0.0000
As1 0.0000 0.0000 0.5000
Pb1 0.0000 0.5000 0.5000
# - density of states at the Fermi level (states/eV/cell) = 5.7
# - formation energy from raw total energies (eV per formula unit) = 1.1
# - E (eV per atom) = -3.877
# - offset from the most stable computed form (meV/atom) = 249


(2)
# Nd3IrRu (PBE, relaxed)
data_Nd3IrRu
_space_group_name_H-M_alt 'R -3'
_space_group_IT_number 148
_space_group_name_Hall '-R 3'
_cell_length_a 7.1364
_cell_length_b 7.1364
_cell_length_c 19.1938
_cell_angle_alpha 90.00
_cell_angle_beta 90.00
_cell_angle_gamma 120.00
loop_
_atom_site_label
_atom_site_fract_x
_atom_site_fract_y
_atom_site_fract_z
Nd1 0.0027 0.3430 0.2501
Ir1 0.0000 0.0000 0.1710
Ru1 0.0000 0.0000 0.3276
# - formation enthalpy at 0 K (eV per formula unit) = -1.57
# - density of states at the Fermi level (states/eV/cell) = 16.0
# - E (eV per atom) = -6.801


(3)
# Pr6Ho12Er (PBE, relaxed)
data_Pr6Ho12Er
_space_group_name_H-M_alt 'R -3 m'
_space_group_IT_number 166
_space_group_name_Hall '-R 3 2"'
_cell_length_a 11.1225
_cell_length_b 11.1225
_cell_length_c 17.6092
_cell_angle_alpha 90.00
_cell_angle_beta 90.00
_cell_angle_gamma 120.00
loop_
_atom_site_label
_atom_site_fract_x
_atom_site_fract_y
_atom_site_fract_z
Pr1 0.0689 0.5345 0.2677
Ho1 0.1010 0.5505 0.9129
Ho2 0.1059 0.2117 0.9072
Er1 0.0000 0.0000 0.5000
# - formation enthalpy at 0 K (eV per formula unit) = 2.43
# - density of states at the Fermi level (states/eV/cell) = 86.6
# - E (eV per atom) = -4.513
# - offset from the most stable computed form (meV/atom) = 0


(4)
# SrGeO2F (PBE, relaxed)
data_SrGeO2F
_space_group_name_H-M_alt 'P 4/m m m'
_space_group_IT_number 123
_space_group_name_Hall '-P 4 2'
_cell_length_a 4.0510
_cell_length_b 4.0510
_cell_length_c 4.2163
_cell_angle_alpha 90.00
_cell_angle_beta 90.00
_cell_angle_gamma 90.00
loop_
_atom_site_label
_atom_site_fract_x
_atom_site_fract_y
_atom_site_fract_z
Sr1 0.0000 0.0000 0.0000
Ge1 0.5000 0.5000 0.5000
O1 0.0000 0.5000 0.5000
F1 0.5000 0.5000 0.0000
# - density of states at the Fermi level (states/eV/cell) = 0.6
# - formation energy from raw total energies (eV per formula unit) = -10.8
# - E (eV per atom) = -5.775


(5)
# NdDy6Ho2Er3 (PBE, relaxed)
data_NdDy6Ho2Er3
_space_group_name_H-M_alt 'C 1 2/m 1'
_space_group_IT_number 12
_space_group_name_Hall '-C 2y'
_cell_length_a 6.1333
_cell_length_b 10.6126
_cell_length_c 11.7357
_cell_angle_alpha 90.00
_cell_angle_beta 99.97
_cell_angle_gamma 90.00
loop_
_atom_site_label
_atom_site_fract_x
_atom_site_fract_y
_atom_site_fract_z
Nd1 0.0000 0.0000 0.0000
Dy1 0.2483 0.3330 0.7478
Dy2 0.2495 0.0000 0.7480
Ho1 0.0000 0.3333 0.0000
Er1 0.0000 0.1670 0.5000
Er2 0.0000 0.5000 0.5000
# - formation enthalpy at 0 K (eV per formula unit) = 0.22
# - density of states at the Fermi level (states/eV/cell) = 30.8
# - E (eV per atom) = -4.584


(6)
# ZrZn (PBE, relaxed)
data_ZrZn
_space_group_name_H-M_alt 'P 63/m m c'
_space_group_IT_number 194
_space_group_name_Hall '-P 6c 2c'
_cell_length_a 8.0954
_cell_length_b 8.0954
_cell_length_c 4.1103
_cell_angle_alpha 90.00
_cell_angle_beta 90.00
_cell_angle_gamma 120.00
loop_
_atom_site_label
_atom_site_fract_x
_atom_site_fract_y
_atom_site_fract_z
Zr1 0.1590 0.3180 0.2500
Zn1 0.1212 0.5606 0.7500
# - formation enthalpy at 0 K (eV per formula unit) = -0.12
# - density of states at the Fermi level (states/eV/cell) = 13.2
# - E (eV per atom) = -4.971


(7)
# Tb2Pm4ErMg (PBE, relaxed)
data_Tb2Pm4ErMg
_space_group_name_H-M_alt 'P 4/m m m'
_space_group_IT_number 123
_space_group_name_Hall '-P 4 2'
_cell_length_a 5.0514
_cell_length_b 5.0514
_cell_length_c 9.9851
_cell_angle_alpha 90.00
_cell_angle_beta 90.00
_cell_angle_gamma 90.00
loop_
_atom_site_label
_atom_site_fract_x
_atom_site_fract_y
_atom_site_fract_z
Tb1 0.0000 0.0000 0.0000
Tb2 0.5000 0.5000 0.5000
Pm1 0.0000 0.5000 0.2471
Er1 0.0000 0.0000 0.5000
Mg1 0.5000 0.5000 0.0000
# - formation enthalpy at 0 K (eV per formula unit) = 0.08
# - density of states at the Fermi level (states/eV/cell) = 10.9
# - E (eV per atom) = -4.293


(8)
# Ac2Mg3Rh4 (PBE, relaxed)
data_Ac2Mg3Rh4
_space_group_name_H-M_alt 'C m c e'
_space_group_IT_number 64
_space_group_name_Hall '-C 2ac 2'
_cell_length_a 5.9897
_cell_length_b 17.0311
_cell_length_c 7.3296
_cell_angle_alpha 90.00
_cell_angle_beta 90.00
_cell_angle_gamma 90.00
loop_
_atom_site_label
_atom_site_fract_x
_atom_site_fract_y
_atom_site_fract_z
Ac1 0.0000 0.1030 0.0862
Mg1 0.0000 0.0000 0.5000
Mg2 0.2500 0.2302 0.7500
Rh1 0.0000 0.1654 0.4749
Rh2 0.2500 0.0722 0.7500
# - formation enthalpy at 0 K (eV per formula unit) = -4.64
# - density of states at the Fermi level (states/eV/cell) = 15.8
# - E (eV per atom) = -5.228


(9)
# RbAs3Pt (PBE, relaxed)
data_RbAs3Pt
_space_group_name_H-M_alt 'P m -3 m'
_space_group_IT_number 221
_space_group_name_Hall '-P 4 2 3'
_cell_length_a 5.1119
_cell_length_b 5.1119
_cell_length_c 5.1119
_cell_angle_alpha 90.00
_cell_angle_beta 90.00
_cell_angle_gamma 90.00
loop_
_atom_site_label
_atom_site_fract_x
_atom_site_fract_y
_atom_site_fract_z
Rb1 0.0000 0.0000 0.0000
As1 0.0000 0.5000 0.5000
Pt1 0.5000 0.5000 0.5000
# - formation enthalpy at 0 K (eV per formula unit) = 1.23
# - density of states at the Fermi level (states/eV/cell) = 2.8
# - E (eV per atom) = -3.945
# - offset from the most stable computed form (meV/atom) = 0


(10)
# TiBeRh2Br (PBE, relaxed)
data_TiBeRh2Br
_space_group_name_H-M_alt 'P 4/m m m'
_space_group_IT_number 123
_space_group_name_Hall '-P 4 2'
_cell_length_a 4.1664
_cell_length_b 4.1664
_cell_length_c 4.6184
_cell_angle_alpha 90.00
_cell_angle_beta 90.00
_cell_angle_gamma 90.00
loop_
_atom_site_label
_atom_site_fract_x
_atom_site_fract_y
_atom_site_fract_z
Ti1 0.0000 0.0000 0.0000
Be1 0.5000 0.5000 0.5000
Rh1 0.0000 0.5000 0.5000
Br1 0.5000 0.5000 0.0000
# - density of states at the Fermi level (states/eV/cell) = 5.4
# - formation energy from raw total energies (eV per formula unit) = 2.2
# - E (eV per atom) = -5.153


(11)
# Mg2Cd5InHg (PBE, relaxed)
data_Mg2Cd5InHg
_space_group_name_H-M_alt 'I 4/m c m'
_space_group_IT_number 140
_space_group_name_Hall '-I 4 2c'
_cell_length_a 8.9589
_cell_length_b 8.9589
_cell_length_c 11.2631
_cell_angle_alpha 90.00
_cell_angle_beta 90.00
_cell_angle_gamma 90.00
loop_
_atom_site_label
_atom_site_fract_x
_atom_site_fract_y
_atom_site_fract_z
Mg1 0.1107 0.3893 0.0000
Cd1 0.0000 0.0000 0.0000
Cd2 0.2001 0.2999 0.3673
In1 0.0000 0.0000 0.2500
Hg1 0.0000 0.5000 0.2500
# - formation enthalpy at 0 K (eV per formula unit) = 0.57
# - density of states at the Fermi level (states/eV/cell) = 10.4
# - E (eV per atom) = -1.137


(12)
# BaCoCl (PBE, relaxed)
data_BaCoCl
_space_group_name_H-M_alt 'P 63/m m c'
_space_group_IT_number 194
_space_group_name_Hall '-P 6c 2c'
_cell_length_a 4.0762
_cell_length_b 4.0762
_cell_length_c 9.0460
_cell_angle_alpha 90.00
_cell_angle_beta 90.00
_cell_angle_gamma 120.00
loop_
_atom_site_label
_atom_site_fract_x
_atom_site_fract_y
_atom_site_fract_z
Ba1 0.0000 0.0000 0.0000
Co1 0.3333 0.6667 0.2500
Cl1 0.3333 0.6667 0.7500
# - density of states at the Fermi level (states/eV/cell) = 3.2
# - formation energy from raw total energies (eV per formula unit) = -0.8
# - E (eV per atom) = -3.884
# - offset from the most stable computed form (meV/atom) = 620


(13)
# Rb3Na5Au2 (PBE, relaxed)
data_Rb3Na5Au2
_space_group_name_H-M_alt 'I b a m'
_space_group_IT_number 72
_space_group_name_Hall '-I 2 2c'
_cell_length_a 13.0309
_cell_length_b 16.6667
_cell_length_c 7.4920
_cell_angle_alpha 90.00
_cell_angle_beta 90.00
_cell_angle_gamma 90.00
loop_
_atom_site_label
_atom_site_fract_x
_atom_site_fract_y
_atom_site_fract_z
Rb1 0.0000 0.0000 0.2500
Rb2 0.2160 0.1723 0.0000
Na1 0.0000 0.2910 0.2500
Na2 0.0000 0.5000 0.2500
Na3 0.2115 0.4266 0.0000
Au1 0.0960 0.1691 0.5000
# - formation enthalpy at 0 K (eV per formula unit) = -1.10
# - density of states at the Fermi level (states/eV/cell) = 18.4
# - E (eV per atom) = -1.716


(14)
# Ba2Sn2Pd15 (PBE, relaxed)
data_Ba2Sn2Pd15
_space_group_name_H-M_alt 'R -3 m'
_space_group_IT_number 166
_space_group_name_Hall '-R 3 2"'
_cell_length_a 9.4424
_cell_length_b 9.4424
_cell_length_c 13.9988
_cell_angle_alpha 90.00
_cell_angle_beta 90.00
_cell_angle_gamma 120.00
loop_
_atom_site_label
_atom_site_fract_x
_atom_site_fract_y
_atom_site_fract_z
Ba1 0.0000 0.0000 0.1472
Sn1 0.0000 0.0000 0.3946
Pd1 0.0000 0.2938 0.5000
Pd2 0.0000 0.5000 0.0000
Pd3 0.0045 0.5022 0.3460
# - formation enthalpy at 0 K (eV per formula unit) = -5.82
# - density of states at the Fermi level (states/eV/cell) = 62.7
# - E (eV per atom) = -5.030


(15)
# CeDyCo (PBE, relaxed)
data_CeDyCo
_space_group_name_H-M_alt 'P -6 m 2'
_space_group_IT_number 187
_space_group_name_Hall 'P -6 2'
_cell_length_a 4.1465
_cell_length_b 4.1465
_cell_length_c 4.7839
_cell_angle_alpha 90.00
_cell_angle_beta 90.00
_cell_angle_gamma 120.00
loop_
_atom_site_label
_atom_site_fract_x
_atom_site_fract_y
_atom_site_fract_z
Ce1 0.0000 0.0000 0.0000
Dy1 0.3333 0.6667 0.5000
Co1 0.6667 0.3333 0.0000
# - formation enthalpy at 0 K (eV per formula unit) = 0.15
# - density of states at the Fermi level (states/eV/cell) = 5.7
# - E (eV per atom) = -5.830
# - offset from the most stable computed form (meV/atom) = 225


(16)
# Dy2MgBi4 (PBE, relaxed)
data_Dy2MgBi4
_space_group_name_H-M_alt 'P -4 m 2'
_space_group_IT_number 115
_space_group_name_Hall 'P -4 -2'
_cell_length_a 4.4833
_cell_length_b 4.4833
_cell_length_c 10.6894
_cell_angle_alpha 90.00
_cell_angle_beta 90.00
_cell_angle_gamma 90.00
loop_
_atom_site_label
_atom_site_fract_x
_atom_site_fract_y
_atom_site_fract_z
Dy1 0.0000 0.5000 0.2346
Mg1 0.0000 0.0000 0.5000
Bi1 0.0000 0.0000 0.0000
Bi2 0.0000 0.5000 0.6786
Bi3 0.5000 0.5000 0.0000
# - formation enthalpy at 0 K (eV per formula unit) = -3.32
# - density of states at the Fermi level (states/eV/cell) = 2.2
# - E (eV per atom) = -4.235


(17)
# Y2TaMo (PBE, relaxed)
data_Y2TaMo
_space_group_name_H-M_alt 'P 4/m m m'
_space_group_IT_number 123
_space_group_name_Hall '-P 4 2'
_cell_length_a 5.0711
_cell_length_b 5.0711
_cell_length_c 3.5409
_cell_angle_alpha 90.00
_cell_angle_beta 90.00
_cell_angle_gamma 90.00
loop_
_atom_site_label
_atom_site_fract_x
_atom_site_fract_y
_atom_site_fract_z
Y1 0.0000 0.5000 0.0000
Ta1 0.0000 0.0000 0.5000
Mo1 0.5000 0.5000 0.5000
# - formation enthalpy at 0 K (eV per formula unit) = 2.75
# - density of states at the Fermi level (states/eV/cell) = 6.4
# - E (eV per atom) = -8.216
# - offset from the most stable computed form (meV/atom) = 551


(18)
# Ga2SnPd2 (PBE, relaxed)
data_Ga2SnPd2
_space_group_name_H-M_alt 'I 4/m m m'
_space_group_IT_number 139
_space_group_name_Hall '-I 4 2'
_cell_length_a 3.7618
_cell_length_b 3.7618
_cell_length_c 12.8347
_cell_angle_alpha 90.00
_cell_angle_beta 90.00
_cell_angle_gamma 90.00
loop_
_atom_site_label
_atom_site_fract_x
_atom_site_fract_y
_atom_site_fract_z
Ga1 0.0000 0.5000 0.2500
Sn1 0.0000 0.0000 0.0000
Pd1 0.0000 0.0000 0.3891
# - formation enthalpy at 0 K (eV per formula unit) = -2.02
# - density of states at the Fermi level (states/eV/cell) = 4.1
# - E (eV per atom) = -4.493
# - offset from the most stable computed form (meV/atom) = 6


(19)
# Zn4InCu5 (PBE, relaxed)
data_Zn4InCu5
_space_group_name_H-M_alt 'P 4/m m m'
_space_group_IT_number 123
_space_group_name_Hall '-P 4 2'
_cell_length_a 3.0179
_cell_length_b 3.0179
_cell_length_c 15.2309
_cell_angle_alpha 90.00
_cell_angle_beta 90.00
_cell_angle_gamma 90.00
loop_
_atom_site_label
_atom_site_fract_x
_atom_site_fract_y
_atom_site_fract_z
Zn1 0.0000 0.0000 0.0940
Zn2 0.0000 0.0000 0.2823
In1 0.0000 0.0000 0.5000
Cu1 0.5000 0.5000 0.0000
Cu2 0.5000 0.5000 0.1891
Cu3 0.5000 0.5000 0.3766
# - formation enthalpy at 0 K (eV per formula unit) = -0.50
# - density of states at the Fermi level (states/eV/cell) = 1.2
# - E (eV per atom) = -2.882


(20)
# Rb2TmSnS4 (PBE, relaxed)
data_Rb2TmSnS4
_space_group_name_H-M_alt 'F d d d'
_space_group_IT_number 70
_cell_length_a 6.7326
_cell_length_b 14.7492
_cell_length_c 23.9899
_cell_angle_alpha 90.00
_cell_angle_beta 90.00
_cell_angle_gamma 90.00
loop_
_space_group_symop_operation_xyz
'x,y,z'
'-x,-y,-z'
'-x+1/4,-y+1/4,z'
'x+1/4,y+1/4,-z'
'x,-y+1/4,-z+1/4'
'-x,y+1/4,z+1/4'
'-x+1/4,y,-z+1/4'
'x+1/4,-y,z+1/4'
'x,y+1/2,z+1/2'
'-x,-y+1/2,-z+1/2'
'-x+1/4,-y+3/4,z+1/2'
'x+1/4,y+3/4,-z+1/2'
'x,-y+3/4,-z+3/4'
'-x,y+3/4,z+3/4'
'-x+1/4,y+1/2,-z+3/4'
'x+1/4,-y+1/2,z+3/4'
'x+1/2,y,z+1/2'
'-x+1/2,-y,-z+1/2'
'-x+3/4,-y+1/4,z+1/2'
'x+3/4,y+1/4,-z+1/2'
'x+1/2,-y+1/4,-z+3/4'
'-x+1/2,y+1/4,z+3/4'
'-x+3/4,y,-z+3/4'
'x+3/4,-y,z+3/4'
'x+1/2,y+1/2,z'
'-x+1/2,-y+1/2,-z'
'-x+3/4,-y+3/4,z'
'x+3/4,y+3/4,-z'
'x+1/2,-y+3/4,-z+1/4'
'-x+1/2,y+3/4,z+1/4'
'-x+3/4,y+1/2,-z+1/4'
'x+3/4,-y+1/2,z+1/4'
loop_
_atom_site_label
_atom_site_fract_x
_atom_site_fract_y
_atom_site_fract_z
Rb1 0.1250 0.1250 0.3081
Tm1 0.1250 0.1250 0.1250
Sn1 0.1250 0.1250 0.6250
S1 0.1203 0.2755 0.4280
# - density of states at the Fermi level (states/eV/cell) = 34.6
# - formation energy from raw total energies (eV per formula unit) = -8.7
# - E (eV per atom) = -4.447


(21)
# Pm3Tl3BiSe8 (PBE, relaxed)
data_Pm3Tl3BiSe8
_space_group_name_H-M_alt 'R -3 m'
_space_group_IT_number 166
_space_group_name_Hall '-R 3 2"'
_cell_length_a 8.5747
_cell_length_b 8.5747
_cell_length_c 22.7333
_cell_angle_alpha 90.00
_cell_angle_beta 90.00
_cell_angle_gamma 120.00
loop_
_atom_site_label
_atom_site_fract_x
_atom_site_fract_y
_atom_site_fract_z
Pm1 0.0000 0.5000 0.0000
Tl1 0.0000 0.5000 0.5000
Bi1 0.0000 0.0000 0.0000
Se1 0.0000 0.0000 0.2618
Se2 0.0019 0.5010 0.2625
# - density of states at the Fermi level (states/eV/cell) = 24.6
# - formation energy from raw total energies (eV per formula unit) = -17.0
# - E (eV per atom) = -4.672